Record 1
ZrCd2Mo (PBE-GGA, relaxed); DOS(E_F) = 5.83 states/eV/cell; formation energy from the elements = 37.2 kJ/mol of atoms; symmetry = Fm-3m, No. 225
1.0
0.000 3.406 3.406
3.406 0.000 3.406
3.406 3.406 0.000
Mo Zr Cd
1 1 2
Cartesian
3.406 3.406 3.406
0.000 0.000 0.000
1.703 1.703 1.703
5.109 5.109 5.109

Record 2
ZrCd2Mo (PBE-GGA, relaxed); DOS(E_F) = 3.66 states/eV/cell; formation energy from the elements = 18.3 kJ/mol of atoms; symmetry = P4mm, No. 99
1.0
3.523 0.000 0.000
0.000 3.523 0.000
0.000 0.000 6.581
Cd Mo Zr
2 1 1
Cartesian
0.000 0.000 0.020
1.762 1.762 1.701
0.000 0.000 3.447
1.762 1.762 4.705

Record 3
ZrCd2Mo (PBE-GGA, relaxed); DOS(E_F) = 2.38 states/eV/cell; formation energy from the elements = 23.1 kJ/mol of atoms; symmetry = Cm, No. 8
1.0
5.245 0.001 0.007
4.421 2.823 0.007
0.932 0.272 5.383
Cd Mo Zr
2 1 1
Cartesian
9.660 2.823 0.109
2.560 0.748 1.282
5.312 1.552 2.849
8.029 2.346 3.869

Record 4
ZrCd2Mo (PBE-GGA, relaxed); DOS(E_F) = 3.88 states/eV/cell; formation energy from the elements = 29.0 kJ/mol of atoms; symmetry = R-3m, No. 166
1.0
-0.015 9.250 4.919
-2.885 9.171 4.164
-1.969 7.846 6.657
Cd Mo Zr
2 1 1
Cartesian
-4.846 26.144 15.666
-2.457 13.256 7.943
-1.217 6.567 3.935
-3.652 19.700 11.805

Record 5
ZrCdMo (PBE-GGA, relaxed); DOS(E_F) = 7.02 states/eV/cell; formation energy from the elements = 49.7 kJ/mol of atoms; symmetry = Fmmm, No. 69
1.0
5.282 0.000 0.000
2.641 3.469 0.000
2.641 0.000 7.494
Cd Mo Zr
2 2 2
Cartesian
6.603 1.735 3.747
3.962 1.735 3.747
5.282 1.187 0.000
2.641 2.282 0.000
5.282 0.000 6.024
2.641 0.000 1.470

Record 6
ZrCd2Mo (PBE-GGA, relaxed); DOS(E_F) = 3.04 states/eV/cell; formation energy from the elements = 20.1 kJ/mol of atoms; symmetry = Pm, No. 6
1.0
4.844 0.000 0.000
0.000 2.892 -0.008
0.000 0.368 5.600
Cd Mo Zr
2 1 1
Cartesian
0.000 0.718 5.538
2.422 0.524 1.489
0.000 1.715 2.764
2.422 2.302 4.199

Record 7
ZrCd2Mo (PBE-GGA, relaxed); DOS(E_F) = 6.41 states/eV/cell; formation energy from the elements = 38.5 kJ/mol of atoms; symmetry = F-43m, No. 216
1.0
-2.960 -3.162 2.156
-2.631 -3.059 -2.670
1.067 -4.719 -0.028
Cd Mo Zr
2 1 1
Cartesian
0.000 0.000 0.000
-1.131 -2.735 -0.135
-2.262 -5.470 -0.271
-3.393 -8.205 -0.406

Record 8
ZrCd2Mo (PBE-GGA, relaxed); DOS(E_F) = 3.78 states/eV/cell; formation energy from the elements = 25.8 kJ/mol of atoms; symmetry = I-4m2, No. 119
1.0
-0.005 3.960 -3.601
1.619 -1.635 -4.833
-3.620 -1.821 3.497
Cd Mo Zr
2 1 1
Cartesian
0.000 0.000 0.000
-0.597 -1.147 -2.776
0.807 1.162 -4.217
-1.409 1.651 -2.161

| no. | spin magnetization (μB per atom) | energy above the most stable polymorph in this dataset (meV/atom) | raw total energy (eV/atom) |
| --- | --- | --- | --- |
| 1 | 0.367 | 263 | -4.917 |
| 2 | 0.000 | 67 | -5.113 |
| 3 | 0.000 | 117 | -5.063 |
| 4 | 0.000 | 178 | -5.002 |
| 5 | 0.000 | 339 | -6.249 |
| 6 | 0.000 | 85 | -5.094 |
| 7 | 0.039 | 277 | -4.903 |
| 8 | 0.000 | 144 | -5.035 |